First-principles (GGA-PBE) data for a relaxed BeCrCl crystal, as listed in the Alexandria database.

Calculated values
- ΔE to the lowest computed polymorph (meV per atom) = 38
- final energy (eV/atom) = -4.74
- crystal system = orthorhombic

abc: 6.5516 6.1843 3.0904
angles: 82.68 69.43 27.89
Last column: nearest neighbours and their distance in Å.
Fractional coordinates of all 3 atoms:
Cr 0.6382 0.6382 0.3618  2 Be 2.37
Be 0.9887 0.9887 0.0113  2 Cl 2.09
Cl 0.3730 0.3730 0.6270  2 Be 2.09


First-principles (GGA-PBE) data for a relaxed BeCr2Cl crystal, as listed in the Alexandria database.

Calculated values
- ΔE to the lowest computed polymorph (meV per atom) = 454
- final energy (eV/atom) = -5.47
- crystal system = monoclinic

abc: 4.7745 4.5437 2.7818
angles: 77.58 80.03 118.19
Last column: nearest neighbours and their distance in Å.
Fractional coordinates of all 4 atoms:
Cr 0.5000 0.0000 0.5000  2 Be 2.40, 2 Cl 2.40, 2 Cr 2.55
Cr 0.0000 0.0000 0.0000  2 Cl 2.40, 2 Be 2.40, 2 Cr 2.55
Cl 0.5000 0.5000 0.0000  4 Cr 2.40, 2 Be 2.55
Be 0.0000 0.5000 0.5000  4 Cr 2.40, 2 Cl 2.55


First-principles (GGA-PBE) data for a relaxed BeCrCl2 crystal, as listed in the Alexandria database.

Calculated values
- ΔE to the lowest computed polymorph (meV per atom) = 939
- final energy (eV/atom) = -3.65
- crystal system = cubic

abc: 4.6761 4.6761 4.6761
angles: 60.00 60.00 60.00
Last column: nearest neighbours and their distance in Å.
Fractional coordinates of all 4 atoms:
Cl 0.0000 0.0000 0.0000  4 Cr 2.86, 4 Cl 2.86
Cl 0.7500 0.7500 0.7500  4 Cl 2.86, 4 Be 2.86
Be 0.5000 0.5000 0.5000  4 Cl 2.86, 4 Cr 2.86
Cr 0.2500 0.2500 0.2500  4 Be 2.86, 4 Cl 2.86